1.
The following is a PBE-GGA calculation of an optimized crystal structure of K2Na4Cl, from Alexandria.

It has space group I4/mmm (No. 139), with a = 5.538 Å, b = 5.538 Å, c = 21.976 Å, α = 90.00°, β = 90.00° and γ = 90.00°. The asymmetric unit holds K at (0.000, 0.000, 0.184), Na at (0.000, 0.000, 0.371), Na at (0.000, 0.500, 0.000) and Cl at (0.000, 0.000, 0.500).

As for the size of the total moment: 0.000 μB/atom.



2.
The following is a PBE-GGA calculation of an optimized crystal structure of K5Na3Cl8, from Alexandria.

It has space group R-3m (No. 166, hexagonal axes), with a = 8.6460 Å, b = 8.6460 Å, c = 21.2941 Å, α = 90.00°, β = 90.00° and γ = 120.00°. The asymmetric unit holds K at (0.0000, 0.0000, 0.0000), K at (0.0000, 0.0000, 0.5000), K at (0.0000, 0.5000, 0.0000), Na at (0.0000, 0.5000, 0.5000), Cl at (0.0000, 0.0000, 0.2420) and Cl at (0.0123, 0.5062, 0.7562).

As for the size of the total moment: 0.000 μB/atom.



3.
The following is a PBE-GGA calculation of an optimized crystal structure of KNa4Cl5, from Alexandria.

It has space group I4/mmm (No. 139), with a = 4.165 Å, b = 4.165 Å, c = 29.079 Å, α = 90.00°, β = 90.00° and γ = 90.00°. The asymmetric unit holds K at (0.000, 0.000, 0.000), Na at (0.000, 0.000, 0.202), Na at (0.000, 0.000, 0.395), Cl at (0.000, 0.000, 0.106), Cl at (0.000, 0.000, 0.298) and Cl at (0.000, 0.000, 0.500).

As for the size of the total moment: 0.000 μB/atom. The calculation puts the relative energy among the computed polymorphs at 16 meV/atom.



| no. | V (A^3/atom) | formation energy without anion corrections (eV per atom) | total energy (eV/atom) |
| --- | --- | --- | --- |
| 1 | 48.1 | -0.368 | -1.6992 |
| 2 | 28.7 | -1.878 | -3.3921 |
| 3 | 25.2 | -1.809 | -3.3698 |